A geometry-optimized RbV2CF structure. Source: Alexandria, functional GGA+U.

Values from the calculation:
The calculated total energy is -26.07 eV per formula unit. Its space-group type is No. 123.

Lattice parameters (Å, degrees): 4.042 8.508 4.042 90.00 90.00 90.00
Element x y z (fractional)
C: 0.000 0.000 0.000
F: 0.000 0.500 0.000
Rb: 0.500 0.500 0.500
V: 0.000 0.000 0.500
V: 0.500 0.000 0.000